1.
## La2Ge3Pd5 (PBE)

Data for an optimized crystal structure of La2Ge3Pd5.

Cell: 4.4422 6.9587 12.8030 Å, 90.00 99.99 90.00°
With the nearest neighbours (Å) after each atom.
Sites, in units of the cell vectors:
Pd: 0.0493 0.5270 0.0986  2 Ge 2.63-2.65, 3 Pd 2.89-2.93
Pd: 0.5876 0.7652 0.1751  3 Ge 2.57-2.60
Pd: 0.7016 0.1291 0.4032  4 Ge 2.65-2.77, 5 Pd 2.90-2.95
Pd: 0.4124 0.2652 0.8249  3 Ge 2.57-2.60
Pd: 0.1299 0.2309 0.2598  3 Ge 2.59-2.63, 1 Pd 2.89
Pd: 0.7285 0.5349 0.4571  4 Ge 2.45-2.57
Pd: 0.2984 0.6291 0.5968  4 Ge 2.65-2.77, 5 Pd 2.90-2.95
Pd: 0.9507 0.0270 0.9014  2 Ge 2.63-2.65, 3 Pd 2.89-2.93
Pd: 0.8701 0.7309 0.7402  3 Ge 2.59-2.63, 1 Pd 2.89
Pd: 0.2715 0.0349 0.5429  4 Ge 2.45-2.57
Ge: 0.3680 0.9328 0.7360  5 Pd 2.54-2.75
Ge: 0.7728 0.8490 0.5457  5 Pd 2.45-2.65
Ge: 0.0501 0.9050 0.1003  4 Pd 2.60-2.65
Ge: 0.6320 0.4328 0.2640  5 Pd 2.54-2.75
Ge: 0.9499 0.4050 0.8997  4 Pd 2.60-2.65
Ge: 0.2272 0.3490 0.4543  5 Pd 2.45-2.65
La: 0.4704 0.7079 0.9409  5 Pd 2.98-3.24, 5 Ge 3.02-3.29
La: 0.1707 0.7830 0.3413  9 Pd 3.06-3.39, 2 Ge 3.16-3.34
La: 0.8293 0.2830 0.6587  9 Pd 3.06-3.39, 2 Ge 3.16-3.34
La: 0.5296 0.2079 0.0591  5 Pd 2.98-3.24, 5 Ge 3.02-3.29

The calculated volume comes out at 389.8 Å³ per cell. Its formation energy from the elements is -0.764 eV per atom.

---

2.
## Rb3NpPd2S6 (PBE)

Data for an optimized crystal structure of Rb3NpPd2S6.

Cell: 7.7025 7.7025 7.7999 Å, 97.34 97.34 131.61°
With the nearest neighbours (Å) after each atom.
Sites, in units of the cell vectors:
S: 0.1220 0.3924 0.1766  1 Pd 2.39, 1 Np 2.60
S: 0.7690 0.7690 0.2180  2 Pd 2.49, 1 Np 2.56
S: 0.2310 0.2310 0.7820  2 Pd 2.49, 1 Np 2.56
S: 0.8780 0.6076 0.8234  1 Pd 2.39, 1 Np 2.60
S: 0.3924 0.1220 0.1766  1 Pd 2.39, 1 Np 2.60
S: 0.6076 0.8780 0.8234  1 Pd 2.39, 1 Np 2.60
Rb: 0.1786 0.8214 0.5000  6 S 3.36-3.63, 2 Rb 3.74
Rb: 0.5000 0.5000 0.5000  6 S 3.15-3.17
Rb: 0.8214 0.1786 0.5000  6 S 3.36-3.63, 2 Rb 3.74
Pd: 0.3940 0.6060 0.0000  4 S 2.39-2.49
Pd: 0.6060 0.3940 0.0000  4 S 2.39-2.49
Np: 0.0000 0.0000 0.0000  6 S 2.56-2.60

The formation energy without anion corrections comes out at -0.787 eV per atom. The calculated volume comes out at 328.8 Å³ per cell.

---

3.
## K2InRu (PBE)

Data for an optimized crystal structure of K2InRu.

Cell: 5.2705 5.2705 5.2705 Å, 119.99 119.99 90.01°
With the nearest neighbours (Å) after each atom.
Sites, in units of the cell vectors:
K: 0.2500 0.7500 0.5000  4 K 3.23, 4 Ru 3.23
K: 0.0000 0.0000 0.0000  4 In 3.23, 4 K 3.23
In: 0.7500 0.2500 0.5000  4 Ru 3.23, 4 K 3.23
Ru: 0.5000 0.5000 0.0000  4 In 3.23, 4 K 3.23

The calculated volume comes out at 103.5 Å³ per cell. Its formation energy from the elements is 0.760 eV per atom.

---

4.
## CrAu2 (PBE)

Data for an optimized crystal structure of CrAu2.

Cell: 7.3168 7.3168 4.6665 Å, 90.00 90.00 155.25°
With the nearest neighbours (Å) after each atom.
Sites, in units of the cell vectors:
Au: 0.7684 0.2316 0.7500  4 Cr 2.83-2.97, 8 Au 2.86-3.14
Au: 0.2316 0.7684 0.2500  4 Cr 2.83-2.97, 8 Au 2.86-3.14
Au: 0.4399 0.5601 0.7500  6 Cr 2.82-2.88, 6 Au 2.90-3.14
Au: 0.5601 0.4399 0.2500  6 Cr 2.82-2.88, 6 Au 2.90-3.14
Cr: 0.8964 0.1036 0.2500  10 Au 2.82-2.97, 2 Cr 3.14
Cr: 0.1036 0.8964 0.7500  10 Au 2.82-2.97, 2 Cr 3.14

The calculated volume comes out at 104.6 Å³ per cell. Its formation energy from the elements is 0.124 eV per atom.

---

5.
## CsHoVI6 (PBE)

Data for an optimized crystal structure of CsHoVI6.

Cell: 7.6022 7.6022 8.8540 Å, 90.00 90.00 60.00°
With the nearest neighbours (Å) after each atom.
Sites, in units of the cell vectors:
I: 0.6417 0.9838 0.3096  1 V 2.87, 1 Ho 3.03
I: 0.9838 0.6418 0.6904  1 V 2.87, 1 Ho 3.03
I: 0.3744 0.9838 0.6904  1 V 2.87, 1 Ho 3.03
I: 0.3745 0.6417 0.3096  1 V 2.87, 1 Ho 3.03
I: 0.9838 0.3745 0.3096  1 V 2.87, 1 Ho 3.03
I: 0.6417 0.3745 0.6904  1 V 2.87, 1 Ho 3.03
Cs: 0.0000 0.0000 0.0000  6 I 3.91
Ho: 0.3333 0.3333 0.5000  6 I 3.03
V: 0.6666 0.6667 0.5000  6 I 2.87

The formation energy without anion corrections comes out at -1.103 eV per atom. The calculated volume comes out at 443.2 Å³ per cell.

---

6.
## TcRu2Rh (PBE)

Data for an optimized crystal structure of TcRu2Rh.

Cell: 2.7006 3.8616 5.4257 Å, 90.00 90.00 90.00°
With the nearest neighbours (Å) after each atom.
Sites, in units of the cell vectors:
Ru: 0.0000 0.0000 0.0040  4 Ru 2.67-2.76, 4 Tc 2.71, 4 Rh 2.73
Ru: 0.0000 0.0000 0.4960  4 Ru 2.67-2.76, 4 Tc 2.71, 4 Rh 2.73
Rh: 0.5000 0.5000 0.7500  2 Rh 2.70, 2 Tc 2.71, 8 Ru 2.73
Tc: 0.5000 0.5000 0.2500  2 Tc 2.70, 8 Ru 2.71, 2 Rh 2.71

The calculated volume comes out at 56.6 Å³ per cell. Its formation energy from the elements is 0.034 eV per atom.

---

7.
## TlCuTe2 (PBE)

Data for an optimized crystal structure of TlCuTe2.

Cell: 6.5914 6.7612 11.7276 Å, 73.24 90.00 90.00°
With the nearest neighbours (Å) after each atom.
Sites, in units of the cell vectors:
Te: 0.7498 0.5434 0.5285  2 Cu 2.54-2.66
Te: 0.7498 0.9566 0.9715  2 Cu 2.54-2.66
Te: 0.2502 0.0434 0.0285  2 Cu 2.54-2.66
Te: 0.2075 0.9696 0.6584  2 Cu 2.59-2.60
Te: 0.2502 0.4566 0.4715  2 Cu 2.54-2.66
Te: 0.7925 0.4696 0.1584  2 Cu 2.59-2.60
Te: 0.7925 0.0304 0.3416  2 Cu 2.59-2.60
Te: 0.2075 0.5304 0.8416  2 Cu 2.59-2.60
Tl: 0.2855 0.5410 0.1514  4 Te 3.28-3.64, 2 Cu 3.55-3.62
Tl: 0.7145 0.4590 0.8486  4 Te 3.28-3.64, 2 Cu 3.55-3.62
Tl: 0.2855 0.9590 0.3486  4 Te 3.28-3.64, 2 Cu 3.55-3.62
Tl: 0.7145 0.0410 0.6514  4 Te 3.28-3.64, 2 Cu 3.55-3.62
Cu: 0.0983 0.6244 0.6202  4 Te 2.54-2.66
Cu: 0.9017 0.3756 0.3798  4 Te 2.54-2.66
Cu: 0.0983 0.8756 0.8798  4 Te 2.54-2.66
Cu: 0.9017 0.1244 0.1202  4 Te 2.54-2.66

The formation energy without anion corrections comes out at -0.082 eV per atom. The calculated volume comes out at 500.4 Å³ per cell.

---

8.
## SrIn (PBE)

Data for an optimized crystal structure of SrIn.

Cell: 12.5078 12.5078 4.0270 Å, 90.00 90.00 90.00°
With the nearest neighbours (Å) after each atom.
Sites, in units of the cell vectors:
In: 0.1532 0.9330 0.0000  2 In 2.96
In: 0.8468 0.0670 0.0000  2 In 2.96
In: 0.4330 0.3468 0.5000  2 In 2.96
In: 0.0670 0.1532 0.0000  2 In 2.96
In: 0.5670 0.6532 0.5000  2 In 2.96
In: 0.6532 0.4330 0.5000  2 In 2.96
In: 0.9330 0.8468 0.0000  2 In 2.96
In: 0.3468 0.5670 0.5000  2 In 2.96
Sr: 0.3416 0.1356 0.0000  4 In 3.44-3.51
Sr: 0.6584 0.8644 0.0000  4 In 3.44-3.51
Sr: 0.8416 0.6356 0.5000  4 In 3.44-3.51
Sr: 0.3644 0.8416 0.5000  4 In 3.44-3.51
Sr: 0.6356 0.1584 0.5000  4 In 3.44-3.51
Sr: 0.1584 0.3644 0.5000  4 In 3.44-3.51
Sr: 0.8644 0.3416 0.0000  4 In 3.44-3.51
Sr: 0.1356 0.6584 0.0000  4 In 3.44-3.51

The calculated volume comes out at 630.0 Å³ per cell. Its formation energy from the elements is -0.142 eV per atom.

---

9.
## AcPmErLu (PBE)

Data for an optimized crystal structure of AcPmErLu.

Cell: 5.8187 5.8187 5.8187 Å, 60.00 60.00 60.00°
With the nearest neighbours (Å) after each atom.
Sites, in units of the cell vectors:
Er: 0.0000 0.0000 0.0000  4 Ac 3.56, 4 Pm 3.56
Ac: 0.2500 0.2500 0.2500  4 Er 3.56, 4 Lu 3.56
Lu: 0.5000 0.5000 0.5000  4 Pm 3.56, 4 Ac 3.56
Pm: 0.7500 0.7500 0.7500  4 Lu 3.56, 4 Er 3.56

The calculated volume comes out at 139.3 Å³ per cell. Its formation energy from the elements is 0.101 eV per atom.

---

10.
## Tb2Pr8Nd3 (PBE)

Data for an optimized crystal structure of Tb2Pr8Nd3.

Cell: 6.2810 8.9902 8.9902 Å, 83.84 72.99 72.99°
With the nearest neighbours (Å) after each atom.
Sites, in units of the cell vectors:
Pr: 0.6721 0.0825 0.5715  2 Tb 3.47-3.70, 4 Pr 3.53-3.81, 2 Nd 3.66-3.74
Pr: 0.9489 0.1526 0.1526  3 Nd 3.25-3.52, 1 Tb 3.45, 1 Pr 3.62
Pr: 0.3279 0.9175 0.4285  2 Tb 3.47-3.70, 4 Pr 3.53-3.81, 2 Nd 3.66-3.74
Pr: 0.7874 0.4439 0.4439  5 Pr 3.32-3.62, 2 Tb 3.33-3.35, 2 Nd 3.54
Pr: 0.0511 0.8474 0.8474  3 Nd 3.25-3.52, 1 Tb 3.45, 1 Pr 3.62
Pr: 0.6721 0.5715 0.0825  2 Tb 3.47-3.70, 4 Pr 3.53-3.81, 2 Nd 3.66-3.74
Pr: 0.3279 0.4285 0.9175  2 Tb 3.47-3.70, 4 Pr 3.53-3.81, 2 Nd 3.66-3.74
Pr: 0.2126 0.5561 0.5561  5 Pr 3.32-3.62, 2 Tb 3.33-3.35, 2 Nd 3.54
Nd: 0.5000 0.0000 0.0000  2 Pr 3.25, 2 Tb 3.60
Nd: 0.0000 0.2450 0.7550  8 Pr 3.52-3.94
Nd: 0.0000 0.7550 0.2450  8 Pr 3.52-3.94
Tb: 0.6451 0.7114 0.7114  8 Pr 3.33-3.70, 1 Nd 3.60
Tb: 0.3549 0.2886 0.2886  8 Pr 3.33-3.70, 1 Nd 3.60

The calculated volume comes out at 464.1 Å³ per cell. Its formation energy from the elements is 0.148 eV per atom.